# 1
Entry from Alexandria: a relaxed NbRhW crystal (GGA-PBE).

Results
Space-group type: No. 12
Calculated volume, Å³ per atom: 16.2
Density of states at the Fermi level, states/eV/atom: 0.828
ΔH_f (0 K), meV/atom: -112.6
ΔE to the lowest computed polymorph, kJ/mol of atoms: 8.5
VASP energy, Ry per atom: -0.752

Unit cell a=5.289 b=5.289 c=5.539 alpha=121.45 beta=121.45 gamma=50.23
Element x y z (fractional)
1 Nb 0.000 0.000 0.000
2 Nb 0.000 0.000 0.500
3 Rh 0.352 0.352 0.682
4 Rh 0.648 0.648 0.318
5 W 0.319 0.319 0.162
6 W 0.681 0.681 0.838

---

# 2
Entry from Alexandria: a relaxed NpGaFe2 crystal (GGA-PBE).

Results
Space-group type: No. 123
Calculated volume, Å³ per atom: 14.8
Density of states at the Fermi level, states/eV/atom: 1.312
ΔH_f (0 K), meV/atom: 13.1
VASP energy, Ry per atom: -0.603

Unit cell a=4.367 b=4.367 c=3.104 alpha=90.00 beta=90.00 gamma=90.00
Element x y z (fractional)
1 Np 0.000 0.000 0.000
2 Ga 0.500 0.500 0.000
3 Fe 0.000 0.500 0.500
4 Fe 0.500 0.000 0.500

---

# 3
Entry from Alexandria: a relaxed Mg2AlGa2Pd5 crystal (GGA-PBE).

Results
Space-group type: No. 127
Calculated volume, Å³ per atom: 16.5
Density of states at the Fermi level, states/eV/atom: 0.422
ΔH_f (0 K), meV/atom: -639.7
VASP energy, Ry per atom: -0.333

Unit cell a=9.980 b=9.980 c=3.318 alpha=90.00 beta=90.00 gamma=90.00
Element x y z (fractional)
1 Mg 0.165 0.335 0.000
2 Mg 0.335 0.835 0.000
3 Mg 0.665 0.165 0.000
4 Mg 0.835 0.665 0.000
5 Al 0.000 0.000 0.000
6 Al 0.500 0.500 0.000
7 Ga 0.133 0.633 0.000
8 Ga 0.367 0.133 0.000
9 Ga 0.633 0.867 0.000
10 Ga 0.867 0.367 0.000
11 Pd 0.000 0.500 0.500
12 Pd 0.099 0.821 0.500
13 Pd 0.179 0.099 0.500
14 Pd 0.321 0.599 0.500
15 Pd 0.401 0.321 0.500
16 Pd 0.500 0.000 0.500
17 Pd 0.599 0.679 0.500
18 Pd 0.679 0.401 0.500
19 Pd 0.821 0.901 0.500
20 Pd 0.901 0.179 0.500

---

# 4
Entry from Alexandria: a relaxed Ba2InAgSe5 crystal (GGA-PBE).

Results
Space-group type: No. 36
Calculated volume, Å³ per atom: 31.8
Density of states at the Fermi level, states/eV/atom: 0.201
VASP energy, Ry per atom: -0.292

Unit cell a=10.498 b=10.498 c=12.695 alpha=90.00 beta=90.00 gamma=155.84
Element x y z (fractional)
1 Ba 0.095 0.905 0.500
2 Ba 0.125 0.875 0.850
3 Ba 0.875 0.125 0.350
4 Ba 0.905 0.095 0.000
5 In 0.433 0.567 0.657
6 In 0.567 0.433 0.157
7 Ag 0.225 0.775 0.255
8 Ag 0.775 0.225 0.755
9 Se 0.029 0.971 0.255
10 Se 0.289 0.711 0.877
11 Se 0.304 0.696 0.646
12 Se 0.355 0.645 0.171
13 Se 0.473 0.527 0.465
14 Se 0.527 0.473 0.965
15 Se 0.645 0.355 0.671
16 Se 0.696 0.304 0.146
17 Se 0.711 0.289 0.377
18 Se 0.971 0.029 0.755